# Ca2MgCuO

An optimized crystal structure of Ca2MgCuO (PBE-GGA, Alexandria).

Computed properties:
* Fermi-level density of states: 3.2 states/eV/cell
* DFT total energy: -3.963 eV per atom
* ΔE_f (raw): -1.032 eV/atom

a b c (Å): 4.785 4.785 4.288
angles (deg): 90.00 90.00 90.00
Space group P4/mmm (No. 123)
Inequivalent atoms, fractional coordinates:
Ca (0.000, 0.500, 0.000) x2
Mg (0.000, 0.000, 0.500) x1
Cu (0.500, 0.500, 0.500) x1
O (0.000, 0.000, 0.000) x1